1.
{
  "formula": "Ag2BiH",
  "functional": "PBE",
  "state": "optimized geometry",
  "cell": [[-3.092, 3.092, 3.887], [3.092, -3.092, 3.887], [3.092, 3.092, -3.887]],
  "species": ["Ag", "Ag", "Ag", "Ag", "Bi", "Bi", "H", "H"],
  "fractional_positions": [[0.375, 0.216, 0.341], [0.784, 0.125, 0.159], [0.875, 0.034, 0.659], [0.966, 0.625, 0.841], [0.250, 0.750, 0.500], [0.500, 0.500, 0.000], [0.000, 0.000, 0.000], [0.750, 0.250, 0.500]],
  "dft_energy_ev_per_atom": -3.0135,
  "m_tot_mub_per_cell": 0.000,
  "dos_at_fermi_per_ev_cell": 2.8,
  "relative_energy_mev_per_atom": 0
}



2.
{
  "formula": "Nd12Dy3Zn",
  "functional": "PBE",
  "state": "optimized geometry",
  "cell": [[5.078, 0.000, 0.000], [0.000, 5.078, 0.000], [0.000, 0.000, 20.514]],
  "species": ["Nd", "Nd", "Nd", "Nd", "Nd", "Nd", "Nd", "Nd", "Nd", "Nd", "Nd", "Nd", "Dy", "Dy", "Dy", "Zn"],
  "fractional_positions": [[0.000, 0.000, 0.000], [0.000, 0.000, 0.243], [0.000, 0.000, 0.500], [0.000, 0.000, 0.757], [0.000, 0.500, 0.118], [0.000, 0.500, 0.373], [0.000, 0.500, 0.627], [0.000, 0.500, 0.882], [0.500, 0.000, 0.118], [0.500, 0.000, 0.373], [0.500, 0.000, 0.627], [0.500, 0.000, 0.882], [0.500, 0.500, 0.245], [0.500, 0.500, 0.500], [0.500, 0.500, 0.755], [0.500, 0.500, 0.000]],
  "dft_energy_ev_per_atom": -4.5064,
  "m_tot_mub_per_cell": 0.000,
  "dos_at_fermi_per_ev_cell": 22.8,
  "delta_e_f_mev_per_atom": 12.0
}



3.
{
  "formula": "ErTm4Ir2",
  "functional": "PBE",
  "state": "optimized geometry",
  "cell": [[7.768, 0.000, 0.000], [0.000, 6.210, 0.000], [-3.001, 0.000, 7.222]],
  "species": ["Er", "Er", "Tm", "Tm", "Tm", "Tm", "Tm", "Tm", "Tm", "Tm", "Ir", "Ir", "Ir", "Ir"],
  "fractional_positions": [[0.027, 0.250, 0.159], [0.973, 0.750, 0.841], [0.237, 0.502, 0.583], [0.237, 0.998, 0.583], [0.334, 0.750, 0.249], [0.381, 0.250, 0.016], [0.619, 0.750, 0.984], [0.666, 0.250, 0.751], [0.763, 0.002, 0.417], [0.763, 0.498, 0.417], [0.016, 0.250, 0.742], [0.412, 0.250, 0.374], [0.588, 0.750, 0.626], [0.984, 0.750, 0.258]],
  "dft_energy_ev_per_atom": -6.3317,
  "m_tot_mub_per_cell": 0.000,
  "dos_at_fermi_per_ev_cell": 13.7,
  "delta_e_f_mev_per_atom": -593.0
}



4.
{
  "formula": "Pm3Er7Tm",
  "functional": "PBE",
  "state": "optimized geometry",
  "cell": [[-2.902, 5.541, 5.575], [2.902, -5.541, 5.575], [2.902, 5.541, -5.575]],
  "species": ["Pm", "Pm", "Pm", "Er", "Er", "Er", "Er", "Er", "Er", "Er", "Tm"],
  "fractional_positions": [[0.000, 0.000, 0.000], [0.213, 0.713, 0.500], [0.787, 0.287, 0.500], [0.007, 0.802, 0.205], [0.207, 0.500, 0.707], [0.403, 0.198, 0.205], [0.500, 0.000, 0.500], [0.597, 0.802, 0.795], [0.793, 0.500, 0.293], [0.993, 0.198, 0.795], [0.500, 0.500, 0.000]],
  "dft_energy_ev_per_atom": -4.3214,
  "m_tot_mub_per_cell": 0.381,
  "dos_at_fermi_per_ev_cell": 15.0,
  "delta_e_f_mev_per_atom": 284.4
}



5.
{
  "formula": "SrMnAl2",
  "functional": "PBE",
  "state": "optimized geometry",
  "cell": [[0.000, 3.373, 3.373], [3.373, 0.000, 3.373], [3.373, 3.373, 0.000]],
  "species": ["Sr", "Mn", "Al", "Al"],
  "fractional_positions": [[0.000, 0.000, 0.000], [0.500, 0.500, 0.500], [0.250, 0.250, 0.250], [0.750, 0.750, 0.750]],
  "dft_energy_ev_per_atom": -4.0678,
  "m_tot_mub_per_cell": 0.050,
  "dos_at_fermi_per_ev_cell": 6.2,
  "delta_e_f_mev_per_atom": 516.4
}



6.
{
  "formula": "Al3Zn3Ga",
  "functional": "PBE",
  "state": "optimized geometry",
  "cell": [[7.364, 0.000, 0.000], [-3.682, 6.377, 0.000], [0.000, 0.000, 4.927]],
  "species": ["Al", "Al", "Al", "Al", "Al", "Al", "Zn", "Zn", "Zn", "Zn", "Zn", "Zn", "Ga", "Ga"],
  "fractional_positions": [[0.094, 0.621, 0.250], [0.379, 0.473, 0.250], [0.473, 0.094, 0.750], [0.527, 0.906, 0.250], [0.621, 0.527, 0.750], [0.906, 0.379, 0.750], [0.041, 0.809, 0.750], [0.191, 0.232, 0.750], [0.232, 0.041, 0.250], [0.768, 0.959, 0.750], [0.809, 0.768, 0.250], [0.959, 0.191, 0.250], [0.333, 0.667, 0.750], [0.667, 0.333, 0.250]],
  "dft_energy_ev_per_atom": -2.5151,
  "m_tot_mub_per_cell": 0.000,
  "dos_at_fermi_per_ev_cell": 5.2,
  "delta_e_f_mev_per_atom": 67.3,
  "relative_energy_mev_per_atom": 0
}



7.
{
  "formula": "Cs2Mn2Se3",
  "functional": "PBE",
  "state": "optimized geometry",
  "cell": [[8.860, -7.724, 0.000], [8.860, 7.724, 0.000], [-2.913, 0.000, 6.820]],
  "species": ["Cs", "Cs", "Cs", "Cs", "Cs", "Cs", "Cs", "Cs", "Mn", "Mn", "Mn", "Mn", "Mn", "Mn", "Mn", "Mn", "Se", "Se", "Se", "Se", "Se", "Se", "Se", "Se", "Se", "Se", "Se", "Se"],
  "fractional_positions": [[0.066, 0.934, 0.750], [0.206, 0.794, 0.250], [0.311, 0.491, 0.445], [0.491, 0.311, 0.945], [0.509, 0.689, 0.055], [0.689, 0.509, 0.555], [0.794, 0.206, 0.750], [0.934, 0.066, 0.250], [0.028, 0.576, 0.738], [0.152, 0.304, 0.802], [0.304, 0.152, 0.302], [0.424, 0.972, 0.762], [0.576, 0.028, 0.238], [0.696, 0.848, 0.698], [0.848, 0.696, 0.198], [0.972, 0.424, 0.262], [0.040, 0.641, 0.438], [0.109, 0.253, 0.096], [0.236, 0.511, 0.915], [0.253, 0.109, 0.596], [0.359, 0.960, 0.062], [0.489, 0.764, 0.585], [0.511, 0.236, 0.415], [0.641, 0.040, 0.938], [0.747, 0.891, 0.404], [0.764, 0.489, 0.085], [0.891, 0.747, 0.904], [0.960, 0.359, 0.562]],
  "dft_energy_ev_per_atom": -5.1210,
  "m_tot_mub_per_cell": 40.000,
  "raw_formation_energy_ev_per_atom": -0.764,
  "relative_energy_mev_per_atom": 25
}



8.
{
  "formula": "ZrAg3Ru",
  "functional": "PBE",
  "state": "optimized geometry",
  "cell": [[5.061, 0.000, 0.000], [0.000, 5.061, 0.000], [0.000, 0.000, 5.061]],
  "species": ["Zr", "Ag", "Ag", "Ag", "Ru"],
  "fractional_positions": [[0.000, 0.000, 0.000], [0.000, 0.000, 0.500], [0.000, 0.500, 0.000], [0.500, 0.000, 0.000], [0.500, 0.500, 0.500]],
  "dft_energy_ev_per_atom": -3.2881,
  "m_tot_mub_per_cell": 0.823,
  "dos_at_fermi_per_ev_cell": 12.2,
  "delta_e_f_mev_per_atom": 1987.4,
  "relative_energy_mev_per_atom": 683
}



9.
{
  "formula": "Er2MgGa3Pt4",
  "functional": "PBE",
  "state": "optimized geometry",
  "cell": [[4.031, 0.000, 0.000], [0.000, 4.031, 0.000], [0.000, 0.000, 11.532]],
  "species": ["Er", "Er", "Mg", "Ga", "Ga", "Ga", "Pt", "Pt", "Pt", "Pt"],
  "fractional_positions": [[0.000, 0.500, 0.242], [0.500, 0.000, 0.758], [0.000, 0.000, 0.500], [0.000, 0.500, 0.868], [0.500, 0.000, 0.132], [0.500, 0.500, 0.500], [0.000, 0.000, 0.000], [0.000, 0.500, 0.652], [0.500, 0.000, 0.348], [0.500, 0.500, 0.000]],
  "dft_energy_ev_per_atom": -5.3380,
  "m_tot_mub_per_cell": 0.000,
  "dos_at_fermi_per_ev_cell": 4.6,
  "delta_e_f_mev_per_atom": -941.6
}



10.
{
  "formula": "Pm2PrSm7",
  "functional": "PBE",
  "state": "optimized geometry",
  "cell": [[6.020, -8.490, 0.000], [6.020, 8.490, 0.000], [0.000, 0.000, 3.536]],
  "species": ["Pm", "Pm", "Pr", "Sm", "Sm", "Sm", "Sm", "Sm", "Sm", "Sm"],
  "fractional_positions": [[0.173, 0.827, 0.000], [0.827, 0.173, 0.000], [0.000, 0.000, 0.500], [0.128, 0.387, 0.000], [0.326, 0.674, 0.500], [0.387, 0.128, 0.000], [0.500, 0.500, 0.000], [0.613, 0.872, 0.000], [0.674, 0.326, 0.500], [0.872, 0.613, 0.000]],
  "dft_energy_ev_per_atom": -4.3430,
  "m_tot_mub_per_cell": 0.000,
  "dos_at_fermi_per_ev_cell": 16.0,
  "delta_e_f_mev_per_atom": 388.5,
  "relative_energy_mev_per_atom": 0
}